Here is a relaxed structure of FeTc2PbO8 from Alexandria via LeMat-Bulk. Energies are from PBE with a Hubbard U.

Unit cell a=5.1652 b=5.1652 c=8.2217 alpha=71.69 beta=71.69 gamma=60.00
Last column: nearest neighbours and their distance in Å.
Fractional positions:
Fe (0.5000, 0.5000, 0.5000)  6 O 2.17
Tc (0.7540, 0.7540, 0.7380)  4 O 1.79
Tc (0.2460, 0.2460, 0.2620)  4 O 1.79
Pb (0.0000, 0.0000, 0.0000)  12 O 2.99-3.02
O (0.6762, 0.6762, 0.9715)  1 Tc 1.79
O (0.3238, 0.3238, 0.0285)  1 Tc 1.79
O (0.5559, 0.2367, 0.3212)  1 Tc 1.79
O (0.7633, 0.4441, 0.6788)  1 Tc 1.79
O (0.1138, 0.7633, 0.6788)  1 Tc 1.79
O (0.2367, 0.8862, 0.3212)  1 Tc 1.79
O (0.8862, 0.5559, 0.3212)  1 Tc 1.79
O (0.4441, 0.1138, 0.6788)  1 Tc 1.79

Results
- Size of the total moment: 6.05 μB/cell
- Energy: -83.93 eV per cell